! CrGaWO6 | Alexandria via LeMat-Bulk | GGA+U | optimized geometry; values from VASP
! ρ: 6.78 Mg/m³
! Fermi-level density of states: 0.00 states/eV/f.u.
! final energy: -7.209 eV/atom
! calculated volume: 197 Å³/cell
! SG: P4_2nm, No. 102
&SYSTEM
  ibrav = 0, nat = 18, ntyp = 4
/
ATOMIC_SPECIES
Cr 52.00 Cr.upf
Ga 69.72 Ga.upf
W 183.84 W.upf
O 16.00 O.upf
CELL_PARAMETERS angstrom
4.6559 0.0000 0.0000
0.0000 4.6559 0.0000
0.0000 0.0000 9.0710
ATOMIC_POSITIONS crystal
Cr 0.0000 0.0000 0.0000
Cr 0.5000 0.5000 0.5000
Ga 0.0000 0.0000 0.3294
Ga 0.5000 0.5000 0.8294
W 0.0000 0.0000 0.6659
W 0.5000 0.5000 0.1659
O 0.1936 0.1936 0.5031
O 0.1957 0.1957 0.8252
O 0.2001 0.2001 0.1663
O 0.2999 0.7001 0.6663
O 0.3043 0.6957 0.3252
O 0.3064 0.6936 0.0031
O 0.6936 0.3064 0.0031
O 0.6957 0.3043 0.3252
O 0.7001 0.2999 0.6663
O 0.7999 0.7999 0.1663
O 0.8043 0.8043 0.8252
O 0.8064 0.8064 0.5031